Computed, not measured: Te6RhBr3 at its PBEsol-relaxed geometry at the meta-GGA SCAN level of DFT.

a b c (Å): 9.5231 9.5231 9.5231
angles (deg): 108.44 108.44 108.44
Last column: nearest neighbours and their distance in Å.
Atoms (fractional coordinates):
Te (0.3298, 0.5709, 0.3143)  1 Rh 2.71, 2 Te 2.92, 1 Br 2.95
Te (0.9291, 0.1702, 0.1857)  1 Rh 2.71, 2 Te 2.92, 1 Br 2.95
Te (0.3143, 0.3298, 0.5709)  1 Rh 2.71, 2 Te 2.92, 1 Br 2.95
Te (0.4291, 0.6857, 0.6702)  1 Rh 2.71, 2 Te 2.92, 1 Br 2.95
Te (0.6857, 0.6702, 0.4291)  1 Rh 2.71, 2 Te 2.92, 1 Br 2.95
Te (0.0709, 0.8298, 0.8143)  1 Rh 2.71, 2 Te 2.92, 1 Br 2.95
Te (0.1702, 0.1857, 0.9291)  1 Rh 2.71, 2 Te 2.92, 1 Br 2.95
Te (0.5709, 0.3143, 0.3298)  1 Rh 2.71, 2 Te 2.92, 1 Br 2.95
Te (0.8298, 0.8143, 0.0709)  1 Rh 2.71, 2 Te 2.92, 1 Br 2.95
Te (0.1857, 0.9291, 0.1702)  1 Rh 2.71, 2 Te 2.92, 1 Br 2.95
Te (0.8143, 0.0709, 0.8298)  1 Rh 2.71, 2 Te 2.92, 1 Br 2.95
Te (0.6702, 0.4291, 0.6857)  1 Rh 2.71, 2 Te 2.92, 1 Br 2.95
Rh (0.7500, 0.7500, 0.7500)  6 Te 2.71
Rh (0.2500, 0.2500, 0.2500)  6 Te 2.71
Br (0.2500, 0.9873, 0.5127)  2 Te 2.95
Br (0.4873, 0.7500, 0.0127)  2 Te 2.95
Br (0.7500, 0.0127, 0.4873)  2 Te 2.95
Br (0.9873, 0.5127, 0.2500)  2 Te 2.95
Br (0.5127, 0.2500, 0.9873)  2 Te 2.95
Br (0.0127, 0.4873, 0.7500)  2 Te 2.95

Computed properties:
Crystal system   trigonal
SG   R-3c, No. 167
Energy relative to the elements, uncorrected   -0.352 eV/atom
Spin magnetization   0.0000 μB/atom

Computed, not measured: YAl2Fe2 at its PBEsol-relaxed geometry at the meta-GGA SCAN level of DFT.

a b c (Å): 4.0259 4.0259 5.6554
angles (deg): 110.85 110.85 90.00
Last column: nearest neighbours and their distance in Å.
Atoms (fractional coordinates):
Al (0.7500, 0.2500, 0.5000)  4 Fe 2.46
Al (0.2500, 0.7500, 0.5000)  4 Fe 2.46
Fe (0.3946, 0.3946, 0.7893)  1 Fe 2.06
Fe (0.6054, 0.6054, 0.2107)  1 Fe 2.06
Y (0.0000, 0.0000, 0.0000)  8 Fe 3.03, 8 Al 3.17

Computed properties:
Formation energy from the elements   -193 meV per atom
Crystal system   tetragonal
SG   I4/mmm, No. 139
Spin magnetization   0.6664 μB/atom

Computed, not measured: KHfRhC2 at its PBEsol-relaxed geometry at the meta-GGA SCAN level of DFT.

a b c (Å): 4.2158 4.2158 4.4556
angles (deg): 90.00 90.00 90.00
Last column: nearest neighbours and their distance in Å.
Atoms (fractional coordinates):
Hf (0.5000, 0.5000, 0.5000)  4 Rh 2.98, 8 C 3.07
K (0.0000, 0.0000, 0.0000)  4 C 2.11, 2 Rh 2.23
C (0.0000, 0.5000, 0.0000)  2 K 2.11
C (0.5000, 0.0000, 0.0000)  2 K 2.11
Rh (0.0000, 0.0000, 0.5000)  2 K 2.23

Computed properties:
Formation energy from the elements   3254 meV per atom
Crystal system   tetragonal
SG   P4/mmm, No. 123
Spin magnetization   0.0000 μB/atom

Computed, not measured: ZrSe4Br at its PBEsol-relaxed geometry at the meta-GGA SCAN level of DFT.

a b c (Å): 5.5808 5.5808 5.5808
angles (deg): 60.00 60.00 60.00
Last column: nearest neighbours and their distance in Å.
Atoms (fractional coordinates):
Br (0.0000, 0.0000, 0.0000)  12 Se 3.27, 4 Zr 3.42
Se (0.3759, 0.8724, 0.3759)  6 Se 2.77-2.81
Se (0.3759, 0.3759, 0.3759)  6 Se 2.77-2.81
Se (0.8724, 0.3759, 0.3759)  6 Se 2.77-2.81
Se (0.3759, 0.3759, 0.8724)  6 Se 2.77-2.81
Zr (0.7500, 0.7500, 0.7500)  12 Se 3.27, 4 Br 3.42

Computed properties:
Crystal system   cubic
SG   F-43m, No. 216
Energy relative to the elements, uncorrected   0.185 eV/atom
Spin magnetization   0.0001 μB/atom

Computed, not measured: YTiSi2Sn at its PBEsol-relaxed geometry at the meta-GGA SCAN level of DFT.

a b c (Å): 4.7974 4.7974 5.0981
angles (deg): 90.00 90.00 90.00
Last column: nearest neighbours and their distance in Å.
Atoms (fractional coordinates):
Ti (0.0000, 0.0000, 0.0000)  4 Si 2.40, 2 Y 2.55
Y (0.0000, 0.0000, 0.5000)  2 Ti 2.55
Sn (0.5000, 0.5000, 0.5000)  4 Y 3.39, 8 Si 3.50
Si (0.0000, 0.5000, 0.0000)  2 Ti 2.40
Si (0.5000, 0.0000, 0.0000)  2 Ti 2.40

Computed properties:
Crystal system   tetragonal
SG   P4/mmm, No. 123
Energy relative to the elements, uncorrected   0.454 eV/atom
Spin magnetization   0.0003 μB/atom

Computed, not measured: ScCo at its PBEsol-relaxed geometry at the meta-GGA SCAN level of DFT.

a b c (Å): 3.0702 3.0702 3.0702
angles (deg): 90.00 90.00 90.00
Last column: nearest neighbours and their distance in Å.
Atoms (fractional coordinates):
Sc (0.5000, 0.5000, 0.5000)  8 Co 2.66
Co (0.0000, 0.0000, 0.0000)  8 Sc 2.66

Computed properties:
Formation energy from the elements   -341 meV per atom
Crystal system   cubic
SG   Pm-3m, No. 221
Spin magnetization   0.1494 μB/atom

Computed, not measured: ZnAsAu2 at its PBEsol-relaxed geometry at the meta-GGA SCAN level of DFT.

a b c (Å): 2.8746 2.8746 8.1362
angles (deg): 90.00 90.00 90.01
Last column: nearest neighbours and their distance in Å.
Atoms (fractional coordinates):
Au (0.0000, 0.0000, 0.9948)  8 Au 2.87-2.96, 4 As 2.96
Au (0.5000, 0.5000, 0.7312)  4 Zn 2.69, 8 Au 2.87-2.96
As (0.5000, 0.5000, 0.2594)  4 As 2.87, 4 Zn 2.91, 4 Au 2.96
Zn (0.0000, 0.0000, 0.5146)  4 Au 2.69, 4 Zn 2.87, 4 As 2.91

Computed properties:
Formation energy from the elements   75 meV per atom
Crystal system   tetragonal
SG   P4mm, No. 99
Distance to the lowest polymorph of the same formula   73 meV per atom
Spin magnetization   0.0000 μB/atom

Computed, not measured: LiRu2Br at its PBEsol-relaxed geometry at the meta-GGA SCAN level of DFT.

a b c (Å): 3.4087 3.4087 6.8298
angles (deg): 104.45 104.45 90.00
Last column: nearest neighbours and their distance in Å.
Atoms (fractional coordinates):
Li (0.0000, 0.0000, 0.0000)  4 Br 2.41
Ru (0.2500, 0.7500, 0.5000)  4 Ru 2.41
Ru (0.7500, 0.2500, 0.5000)  4 Ru 2.41
Br (0.5000, 0.5000, 0.0000)  4 Li 2.41

Computed properties:
Crystal system   tetragonal
SG   I4/mmm, No. 139
Energy relative to the elements, uncorrected   0.483 eV/atom
Distance to the lowest polymorph of the same formula   240 meV per atom
Spin magnetization   0.0000 μB/atom

Copy entry 6 word for word.
Computed, not measured: ScCo at its PBEsol-relaxed geometry at the meta-GGA SCAN level of DFT.

a b c (Å): 3.0702 3.0702 3.0702
angles (deg): 90.00 90.00 90.00
Last column: nearest neighbours and their distance in Å.
Atoms (fractional coordinates):
Sc (0.5000, 0.5000, 0.5000)  8 Co 2.66
Co (0.0000, 0.0000, 0.0000)  8 Sc 2.66

Computed properties:
Formation energy from the elements   -341 meV per atom
Crystal system   cubic
SG   Pm-3m, No. 221
Spin magnetization   0.1494 μB/atom